The following is a PBE calculation of a relaxed Rb2LiCu2F6 crystal, from Alexandria.

Structure (POSCAR):
```
Rb2LiCu2F6
1.0
-5.149 2.502 1.653
-0.080 -5.789 -2.226
2.146 0.533 5.878
F Cu Rb Li
6 2 2 1
direct
0.266 0.532 0.334
0.222 0.933 0.239
0.711 0.933 0.239
0.734 0.468 0.666
0.778 0.067 0.761
0.289 0.067 0.761
0.926 0.851 0.753
0.074 0.149 0.247
0.717 0.435 0.167
0.283 0.565 0.833
0.500 0.000 0.500
```

Calculated values
- raw formation energy (meV/atom) = -2088
- total energy (Ha/atom) = -0.154
- M_tot (μB/f.u.) = 1.0